Material: Nd5Er2TmSc
Method: DFT, PBE
State: optimized geometry

Computed properties:
Calculated volume ... 33.2 A^3/atom
M_tot ... 0.000 μB/f.u.
Energy ... -170.540 eV for the cell shown
DFT formation energy ... 1.13 eV/f.u.

```
data_Nd5Er2TmSc
_chemical_formula_sum 'Nd20 Er8 Tm4 Sc4'
_space_group_name_H-M_alt 'C m c 21'
_space_group_IT_number 36
_space_group_name_Hall 'C 2c -2'
_cell_length_a 5.3558
_cell_length_b 21.7925
_cell_length_c 10.2394
_cell_angle_alpha 90.00
_cell_angle_beta 90.00
_cell_angle_gamma 90.00
loop_
_atom_site_label
_atom_site_fract_x
_atom_site_fract_y
_atom_site_fract_z
Nd1 0.0000 0.9998 0.0000
Nd2 0.0000 0.1271 0.2504
Nd3 0.0000 0.2213 0.5632
Nd4 0.0000 0.2205 0.9390
Nd5 0.0000 0.5003 0.2501
Er1 0.0000 0.3845 0.0030
Er2 0.0000 0.3851 0.4974
Tm1 0.0000 0.1013 0.7502
Sc1 0.0000 0.2877 0.2511
```



Material: Nd2ErTm2Sc2
Method: DFT, PBE
State: optimized geometry

Computed properties:
Calculated volume ... 30.8 A^3/atom
M_tot ... 0.000 μB/f.u.
Energy ... -69.013 eV for the cell shown
DFT formation energy ... 1.20 eV/f.u.

```
data_Nd2ErTm2Sc2
_chemical_formula_sum 'Nd4 Er2 Tm4 Sc4'
_space_group_name_H-M_alt 'C 1 2/m 1'
_space_group_IT_number 12
_space_group_name_Hall '-C 2y'
_cell_length_a 11.2189
_cell_length_b 3.4035
_cell_length_c 11.5742
_cell_angle_alpha 90.00
_cell_angle_beta 102.25
_cell_angle_gamma 90.00
loop_
_atom_site_label
_atom_site_fract_x
_atom_site_fract_y
_atom_site_fract_z
Nd1 0.2047 0.0000 0.3547
Er1 0.0000 0.5000 0.5000
Tm1 0.0517 0.5000 0.8081
Sc1 0.1438 0.0000 0.0558
```



Which of these has the highest energy? Nd2ErTm2Sc2